Compound: CsHgSb
Source: the Alexandria database
Functional: PBE
Structure: relaxed

Geometry as POSCAR:
```
CsHgSb
1.0
18.988 0.000 0.037
7.568 2.282 -2.998
-7.568 2.282 2.998
Cs Sb Hg
2 2 2
direct
0.218 0.238 0.762 Cs
0.813 0.433 0.567 Cs
0.324 0.428 0.572 Sb
0.338 0.801 0.199 Sb
0.689 0.891 0.109 Hg
0.728 0.214 0.786 Hg
```

Results
E_form (uncorrected), eV/atom: -0.29
Calculated total energy, eV per atom: -2.049
SG: Cm (8)
Spin magnetization, μB/atom: 0.000

Compound: Cs3Hg2Sb3
Source: the Alexandria database
Functional: PBE
Structure: relaxed

Geometry as POSCAR:
```
Cs3Hg2Sb3
1.0
-0.299 2.354 -4.479
-4.041 -6.457 -0.255
-15.418 9.412 5.976
Cs Hg Sb
6 4 6
direct
0.837 0.674 0.402 Cs
0.163 0.326 0.902 Cs
0.837 0.674 0.098 Cs
0.163 0.326 0.598 Cs
0.507 0.015 0.250 Cs
0.493 0.985 0.750 Cs
0.886 0.773 0.876 Hg
0.114 0.227 0.376 Hg
0.886 0.773 0.624 Hg
0.114 0.227 0.124 Hg
0.576 0.152 0.450 Sb
0.424 0.848 0.950 Sb
0.576 0.152 0.050 Sb
0.424 0.848 0.550 Sb
0.224 0.448 0.250 Sb
0.776 0.552 0.750 Sb
```

Results
E_form (uncorrected), eV/atom: -0.33
Calculated total energy, eV per atom: -2.270
SG: Cmcm (63)
Spin magnetization, μB/atom: 0.000

Compound: CsHgSb
Source: the Alexandria database
Functional: PBE
Structure: relaxed

Geometry as POSCAR:
```
CsHgSb
1.0
8.639 0.268 -0.020
-1.234 4.191 0.001
-2.519 1.532 7.012
Cs Sb Hg
2 2 2
direct
0.848 0.115 0.339 Cs
0.413 0.227 0.678 Cs
0.829 0.837 0.875 Sb
0.043 0.468 0.825 Sb
0.182 0.845 0.212 Hg
0.448 0.509 0.149 Hg
```

Results
E_form (uncorrected), eV/atom: -0.30
Calculated total energy, eV per atom: -2.054
SG: Cm (8)
Spin magnetization, μB/atom: 0.000